1.
A plane-wave DFT calculation with SCAN was carried out for a PBEsol-optimized structure of Ba2EuBiO6.

Results
The calculation puts the total energy at -272.37 eV for the cell shown.

Unit cell a=6.138 b=6.138 c=6.138 alpha=60.00 beta=60.00 gamma=60.00
Last column: magnetic moment on the atom in μB.
Element x y z (fractional)
Ba (0.250, 0.250, 0.250)  0.00
Ba (0.750, 0.750, 0.750)  0.00
O (0.243, 0.757, 0.757)  -0.05
O (0.243, 0.243, 0.757)  -0.05
O (0.757, 0.757, 0.243)  -0.05
O (0.757, 0.243, 0.243)  -0.05
O (0.243, 0.757, 0.243)  -0.05
O (0.757, 0.243, 0.757)  -0.05
Eu (0.500, 0.500, 0.500)  6.23
Bi (0.000, 0.000, 0.000)  0.00



2.
A plane-wave DFT calculation with SCAN was carried out for a PBEsol-optimized structure of Ta2TlTc.

Results
Its formation energy is 213 meV per atom. The value obtained for the energy above the most stable polymorph in this dataset is 0.0 meV per atom.

Unit cell a=2.923 b=4.567 c=5.462 alpha=90.00 beta=100.05 gamma=90.00
Element x y z (fractional)
Ta (0.993, 0.000, 0.015)
Ta (0.707, 0.500, 0.276)
Tc (0.422, 0.000, 0.452)
Tl (0.378, 0.500, 0.757)



3.
A plane-wave DFT calculation with SCAN was carried out for a PBEsol-optimized structure of Ta2SbTe.

Results
The value obtained for the energy above the most stable polymorph in this dataset is 487.7 meV per atom.

Unit cell a=4.855 b=4.855 c=4.855 alpha=60.00 beta=60.00 gamma=60.00
Element x y z (fractional)
Ta (0.750, 0.750, 0.750)
Ta (0.000, 0.000, 0.000)
Te (0.250, 0.250, 0.250)
Sb (0.500, 0.500, 0.500)



4.
A plane-wave DFT calculation with SCAN was carried out for a PBEsol-optimized structure of Ni3Ir.

Results
Its formation energy is 26 meV per atom.

Unit cell a=2.578 b=4.353 c=4.813 alpha=116.89 beta=105.53 gamma=90.00
Last column: magnetic moment on the atom in μB.
Element x y z (fractional)
Ni (0.751, 0.414, 0.502)  0.81
Ni (0.249, 0.912, 0.498)  0.81
Ni (0.500, 0.503, 0.000)  0.69
Ir (0.000, 0.005, 0.000)  0.37



5.
A plane-wave DFT calculation with SCAN was carried out for a PBEsol-optimized structure of VP4O12.

Results
The value obtained for the energy above the most stable polymorph in this dataset is 14.7 meV per atom.

Unit cell a=7.538 b=8.259 c=8.259 alpha=111.39 beta=102.43 gamma=102.43
Last column: magnetic moment on the atom in μB.
Element x y z (fractional)
P (0.302, 0.943, 0.784)  0.00
P (0.698, 0.057, 0.216)  0.00
P (0.405, 0.613, 0.282)  0.00
P (0.595, 0.387, 0.718)  0.00
P (0.905, 0.282, 0.613)  0.00
P (0.198, 0.216, 0.057)  0.00
P (0.802, 0.784, 0.943)  0.00
P (0.095, 0.718, 0.387)  0.00
O (0.518, 0.016, 0.267)  0.00
O (0.398, 0.284, 0.598)  0.00
O (0.683, 0.340, 0.878)  -0.01
O (0.482, 0.984, 0.733)  0.00
O (0.125, 0.822, 0.604)  0.00
O (0.875, 0.178, 0.396)  0.00
O (0.250, 0.611, 0.389)  0.00
O (0.183, 0.878, 0.340)  -0.01
O (0.750, 0.873, 0.127)  0.00
O (0.807, 0.910, 0.850)  -0.01
O (0.018, 0.267, 0.016)  0.00
O (0.602, 0.716, 0.402)  0.00
O (0.693, 0.150, 0.090)  -0.01
O (0.250, 0.127, 0.873)  0.00
O (0.317, 0.660, 0.122)  -0.01
O (0.625, 0.604, 0.822)  0.00
O (0.102, 0.402, 0.716)  0.00
O (0.750, 0.389, 0.611)  0.00
O (0.375, 0.396, 0.178)  0.00
O (0.898, 0.598, 0.284)  0.00
O (0.982, 0.733, 0.984)  0.00
O (0.307, 0.850, 0.910)  -0.01
O (0.817, 0.122, 0.660)  -0.01
O (0.193, 0.090, 0.150)  -0.01
V (0.250, 0.866, 0.134)  1.00
V (0.750, 0.134, 0.866)  1.00



6.
A plane-wave DFT calculation with SCAN was carried out for a PBEsol-optimized structure of LiCoNi.

Results
Its formation energy is 561 meV per atom. The value obtained for the energy above the most stable polymorph in this dataset is 432.4 meV per atom.

Unit cell a=3.777 b=3.777 c=3.777 alpha=60.00 beta=60.00 gamma=60.00
Last column: magnetic moment on the atom in μB.
Element x y z (fractional)
Ni (0.500, 0.500, 0.500)  0.66
Li (0.000, 0.000, 0.000)  -0.02
Co (0.250, 0.250, 0.250)  1.89